Entry 1:
Here is an optimized crystal structure of Li3Al from Alexandria. Energies are from PBE.

```
4
Lattice="4.603 2.658 0.917 -4.603 2.658 0.917 0.000 -5.315 0.917" Properties=species:S:1:pos:R:3 pbc="T T T"
Li -2.301 -1.329 0.917
Li -2.301 1.329 1.834
Li 0.000 2.658 0.917
Al 0.000 0.000 0.000
```

## Properties
The volume is 67.29 Å³ per cell. Its symmetry is No. 166. As for the formation energy: -0.0743 eV per atom. The final energy is -2.45 eV per atom.


Entry 2:
Here is an optimized crystal structure of HoTmBiPb from Alexandria. Energies are from PBE.

```
4
Lattice="4.427 0.000 0.000 0.000 4.454 0.000 -0.011 0.000 6.260" Properties=species:S:1:pos:R:3 pbc="T T T"
Ho 0.000 0.000 0.000
Tm 2.208 2.227 3.130
Bi -0.005 0.000 3.130
Pb 2.213 2.227 0.000
```

## Properties
The volume is 123.43 Å³ per cell. Its symmetry is No. 10. As for the formation energy: -0.5403 eV per atom. The final energy is -4.70 eV per atom.


Entry 3:
Here is an optimized crystal structure of CdInGa2Ni from Alexandria. Energies are from PBE.

```
5
Lattice="4.611 0.000 0.000 0.000 4.611 0.000 0.000 0.000 5.093" Properties=species:S:1:pos:R:3 pbc="T T T"
Cd 0.000 0.000 0.000
In 2.306 2.306 0.000
Ga 0.000 2.306 2.546
Ga 2.306 0.000 2.546
Ni 0.000 0.000 2.546
```

## Properties
As for the polymorph energy (0 for the lowest one): 11 meV/atom. The volume is 108.30 Å³ per cell. Its symmetry is No. 123. As for the formation energy: -0.0234 eV per atom. The final energy is -3.12 eV per atom.


Entry 4:
Here is an optimized crystal structure of Dy4ThIn from Alexandria. Energies are from PBE.

```
6
Lattice="5.248 0.000 0.000 0.000 5.248 0.000 0.000 0.000 7.738" Properties=species:S:1:pos:R:3 pbc="T T T"
Dy 0.000 2.624 1.845
Dy 0.000 2.624 5.893
Dy 2.624 0.000 1.845
Dy 2.624 0.000 5.893
Th 0.000 0.000 3.869
In 2.624 2.624 0.000
```

## Properties
As for the polymorph energy (0 for the lowest one): 544 meV/atom. The volume is 213.15 Å³ per cell. Its symmetry is No. 123. As for the formation energy: 0.4033 eV per atom. The final energy is -4.36 eV per atom.


Entry 5:
Here is an optimized crystal structure of Ca2NiH4Au2 from Alexandria. Energies are from PBE.

```
9
Lattice="-2.851 2.851 3.933 2.851 -2.851 3.933 2.851 2.851 -3.933" Properties=species:S:1:pos:R:3 pbc="T T T"
Ca 2.851 0.000 1.966
Ca 0.000 2.851 1.966
Ni 0.000 0.000 0.000
H 1.117 1.117 0.000
H 1.734 -1.734 3.933
H -1.734 1.734 3.933
H 1.734 1.734 3.933
Au 0.000 0.000 2.617
Au 0.000 0.000 5.248
```

## Properties
The volume is 127.83 Å³ per cell. Its symmetry is No. 139. The final energy is -3.61 eV per atom.


Entry 6:
Here is an optimized crystal structure of Er2FeIr from Alexandria. Energies are from PBE.

```
4
Lattice="4.836 0.000 0.000 0.000 4.836 0.000 0.000 0.000 3.309" Properties=species:S:1:pos:R:3 pbc="T T T"
Er 0.000 2.418 0.000
Er 2.418 0.000 0.000
Fe 0.000 0.000 1.654
Ir 2.418 2.418 1.654
```

## Properties
The volume is 77.40 Å³ per cell. Its symmetry is No. 123. As for the formation energy: -0.3862 eV per atom. The final energy is -7.00 eV per atom.


Entry 7:
Here is an optimized crystal structure of La6Si2PbI3 from Alexandria. Energies are from PBE.

```
12
Lattice="10.130 -2.256 0.000 10.130 2.256 0.000 -2.479 0.000 9.031" Properties=species:S:1:pos:R:3 pbc="T T T"
La -0.272 0.000 2.241
La 5.436 0.000 3.966
La 4.611 0.000 7.881
La 13.171 0.000 1.150
La 12.346 0.000 5.065
La 18.054 0.000 6.790
Si 2.571 0.000 3.067
Si 15.210 0.000 5.964
Pb 10.130 0.000 0.000
I 1.235 0.000 7.544
I 8.891 0.000 4.515
I 16.546 0.000 1.487
```

## Properties
Its formation energy from raw total energies is -0.97 eV per atom. The volume is 412.76 Å³ per cell. Its symmetry is No. 12. The final energy is -5.03 eV per atom.


Entry 8:
Here is an optimized crystal structure of CeSiPt4 from Alexandria. Energies are from PBE.

```
12
Lattice="1.979 -7.731 0.000 1.979 7.731 0.000 0.000 0.000 6.826" Properties=species:S:1:pos:R:3 pbc="T T T"
Ce 1.979 6.105 5.120
Ce 1.979 -6.105 1.707
Si 1.979 4.086 1.707
Si 1.979 -4.086 5.120
Pt 1.979 6.508 1.707
Pt 1.979 2.829 3.713
Pt 1.979 2.829 6.527
Pt 1.979 0.000 0.000
Pt 1.979 0.000 3.413
Pt 1.979 -2.829 0.300
Pt 1.979 -2.829 3.114
Pt 1.979 -6.508 5.120
```

## Properties
Its formation energy from raw total energies is -0.91 eV per atom. As for the polymorph energy (0 for the lowest one): 0 meV/atom. The volume is 208.82 Å³ per cell. Its symmetry is No. 63. The final energy is -6.83 eV per atom.